Record 1
Density functional theory data (GGA-PBEsol) for an optimized crystal structure of CaCuH3.

a b c (Å): 3.5598 3.5598 3.5598
angles (deg): 90.00 90.00 90.00
Atoms (fractional coordinates):
H 0.0000 0.5000 0.0000
H 0.0000 0.0000 0.5000
H 0.5000 0.0000 0.0000
Ca 0.5000 0.5000 0.5000
Cu 0.0000 0.0000 0.0000

Values from the calculation:
As for the space group: Pm-3m, No. 221. As for the total energy: -3.62 eV/atom. Its density is 3.93 g cm⁻³. Its calculated volume is 9.022 Å³/atom.

Record 2
Density functional theory data (GGA-PBEsol) for an optimized crystal structure of LiCuNi2.

a b c (Å): 2.5331 4.0940 4.1027
angles (deg): 90.00 90.00 90.00
Atoms (fractional coordinates):
Ni 0.0000 0.0000 0.0000
Ni 0.5000 0.5000 0.0000
Cu 0.5000 0.0000 0.5000
Li 0.0000 0.5000 0.5000

Values from the calculation:
As for the space group: Pmmm, No. 47. The formation energy is 9 meV/atom. Its density is 7.33 g cm⁻³. Its calculated volume is 10.637 Å³/atom.

Record 3
Density functional theory data (GGA-PBEsol) for an optimized crystal structure of TiGa2TcB.

a b c (Å): 4.4998 4.7535 4.7535
angles (deg): 90.00 90.00 90.00
Atoms (fractional coordinates):
B 0.5000 0.5000 0.5000
Tc 0.0000 0.0000 0.0000
Ga 0.0000 0.0000 0.5000
Ga 0.0000 0.5000 0.0000
Ti 0.5000 0.0000 0.0000

Values from the calculation:
As for the space group: P4/mmm, No. 123. The formation energy is 1186 meV/atom. Its density is 4.84 g cm⁻³. Its calculated volume is 20.335 Å³/atom.

Record 4
Density functional theory data (GGA-PBEsol) for an optimized crystal structure of YAlTl.

a b c (Å): 4.7820 4.7820 4.7820
angles (deg): 60.00 60.00 60.00
Atoms (fractional coordinates):
Y 0.0000 0.0000 0.0000
Tl 0.7500 0.7500 0.7500
Al 0.5000 0.5000 0.5000

Values from the calculation:
As for the space group: F-43m, No. 216. The formation energy is -71 meV/atom. As for the energy above the most stable polymorph in this dataset: 0.0000 eV/atom. Its density is 6.88 g cm⁻³. Its calculated volume is 25.775 Å³/atom.

Record 5
Density functional theory data (GGA-PBEsol) for an optimized crystal structure of BaLiTc2.

a b c (Å): 2.8172 5.1035 5.8410
angles (deg): 115.90 90.00 90.00
Atoms (fractional coordinates):
Ba 0.5000 0.0000 0.0000
Li 0.5000 0.5000 0.0000
Tc 0.0000 0.0000 0.5000
Tc 0.0000 0.5000 0.5000

Values from the calculation:
As for the space group: Cmmm, No. 65. The formation energy is 1064 meV/atom. As for the energy above the most stable polymorph in this dataset: 0.2018 eV/atom. Its density is 7.48 g cm⁻³. Its calculated volume is 18.886 Å³/atom.

Record 6
Density functional theory data (GGA-PBEsol) for an optimized crystal structure of Li4ZnP2S8.

a b c (Å): 5.7132 9.1943 11.4015
angles (deg): 90.00 90.07 90.00
Atoms (fractional coordinates):
Li 0.7488 0.7518 0.3831
Li 0.2512 0.2518 0.6169
Li 0.2531 0.0074 0.3716
Li 0.7469 0.5074 0.6284
Li 0.7494 0.9998 0.6262
Li 0.7574 0.0005 0.1237
Li 0.2426 0.5005 0.8763
Li 0.2506 0.4998 0.3738
Zn 0.2512 0.9919 0.8761
Zn 0.7488 0.4919 0.1239
P 0.2392 0.7521 0.6249
P 0.2622 0.7469 0.1241
P 0.7378 0.2469 0.8759
P 0.7608 0.2521 0.3751
S 0.0431 0.8583 0.0132
S 0.0371 0.8789 0.5160
S 0.5414 0.3729 0.2683
S 0.5339 0.3672 0.7664
S 0.4588 0.6318 0.5197
S 0.4770 0.6274 0.0177
S 0.9691 0.1276 0.7720
S 0.9678 0.1353 0.2679
S 0.4586 0.8729 0.7317
S 0.4661 0.8672 0.2336
S 0.9569 0.3583 0.9868
S 0.9629 0.3789 0.4840
S 0.0322 0.6353 0.7321
S 0.0309 0.6276 0.2280
S 0.5230 0.1274 0.9823
S 0.5412 0.1318 0.4803

Values from the calculation:
As for the space group: P2_1, No. 4. Its density is 2.28 g cm⁻³. Its calculated volume is 19.964 Å³/atom. For the uncorrected formation energy, the calculation gives -77.4 kJ/mol of atoms.

Record 7
Density functional theory data (GGA-PBEsol) for an optimized crystal structure of DyFeB4.

a b c (Å): 3.3242 5.8534 11.3282
angles (deg): 90.00 90.00 90.00
Atoms (fractional coordinates):
Dy 0.0000 0.6266 0.3497
Dy 0.0000 0.3734 0.6503
Dy 0.0000 0.1266 0.1503
Dy 0.0000 0.8734 0.8497
Fe 0.0000 0.6321 0.0880
Fe 0.0000 0.3679 0.9120
Fe 0.0000 0.1321 0.4120
Fe 0.0000 0.8679 0.5880
B 0.5000 0.7816 0.1836
B 0.5000 0.2184 0.8164
B 0.5000 0.2816 0.3164
B 0.5000 0.7184 0.6836
B 0.5000 0.8609 0.0320
B 0.5000 0.1391 0.9680
B 0.5000 0.3609 0.4680
B 0.5000 0.6391 0.5320
B 0.5000 0.8886 0.4541
B 0.5000 0.1114 0.5459
B 0.5000 0.3886 0.0459
B 0.5000 0.6114 0.9541
B 0.5000 0.9757 0.3097
B 0.5000 0.0243 0.6903
B 0.5000 0.4757 0.1903
B 0.5000 0.5243 0.8097

Values from the calculation:
As for the space group: Pbam, No. 55. The formation energy is -690 meV/atom. Its density is 7.88 g cm⁻³. Its calculated volume is 9.184 Å³/atom.

Record 8
Density functional theory data (GGA-PBEsol) for an optimized crystal structure of Y2InCu.

a b c (Å): 3.6391 5.0508 5.0508
angles (deg): 90.00 90.00 90.00
Atoms (fractional coordinates):
Y 0.0000 0.0000 0.5000
Y 0.0000 0.5000 0.0000
Cu 0.5000 0.5000 0.5000
In 0.5000 0.0000 0.0000

Values from the calculation:
As for the space group: P4/mmm, No. 123. The formation energy is -321 meV/atom. Its density is 6.37 g cm⁻³. Its calculated volume is 23.209 Å³/atom.

Record 9
Density functional theory data (GGA-PBEsol) for an optimized crystal structure of BaNa2Bi2.

a b c (Å): 3.4442 9.4321 9.4321
angles (deg): 90.00 90.00 90.00
Atoms (fractional coordinates):
Na 0.0000 0.3861 0.8861
Na 0.0000 0.8861 0.6139
Na 0.0000 0.6139 0.1139
Na 0.0000 0.1139 0.3861
Bi 0.5000 0.1825 0.6825
Bi 0.5000 0.6825 0.8175
Bi 0.5000 0.8175 0.3175
Bi 0.5000 0.3175 0.1825
Ba 0.0000 0.0000 0.0000
Ba 0.0000 0.5000 0.5000

Values from the calculation:
As for the space group: P4/mbm, No. 127. The formation energy is -508 meV/atom. As for the energy above the most stable polymorph in this dataset: 0.0253 eV/atom. Its density is 6.52 g cm⁻³. Its calculated volume is 30.641 Å³/atom.

Record 10
Density functional theory data (GGA-PBEsol) for an optimized crystal structure of Ca2SiP.

a b c (Å): 3.6554 3.6554 8.6045
angles (deg): 77.74 77.74 60.00
Atoms (fractional coordinates):
Ca 0.2419 0.2419 0.2744
Ca 0.7581 0.7581 0.7256
P 0.5000 0.5000 0.5000
Si 0.0000 0.0000 0.0000

Values from the calculation:
As for the space group: R-3m, No. 166. As for the energy above the most stable polymorph in this dataset: 0.2164 eV/atom. Its density is 2.39 g cm⁻³. Its calculated volume is 24.132 Å³/atom. For the uncorrected formation energy, the calculation gives -38.0 kJ/mol of atoms.

Record 11
Density functional theory data (GGA-PBEsol) for an optimized crystal structure of CrC2.

a b c (Å): 3.3139 3.3139 3.5990
angles (deg): 62.59 62.59 60.00
Atoms (fractional coordinates):
Cr 0.0379 0.0379 0.8862
C 0.2393 0.2393 0.2822
C 0.3895 0.3895 0.8315

Values from the calculation:
As for the space group: R3m, No. 160. The formation energy is 937 meV/atom. As for the energy above the most stable polymorph in this dataset: 0.3499 eV/atom. Its density is 4.35 g cm⁻³. Its calculated volume is 9.664 Å³/atom.

Record 12
Density functional theory data (GGA-PBEsol) for an optimized crystal structure of Ba2ZrRu.

a b c (Å): 3.4153 3.4153 9.7553
angles (deg): 90.00 90.00 90.00
Last column: magnetic moment on the atom in μB.
Atoms (fractional coordinates):
Ba 0.0000 0.0000 0.7983  0.02
Ba 0.0000 0.0000 0.2017  0.02
Ru 0.5000 0.5000 0.0000  0.12
Zr 0.5000 0.5000 0.5000  0.60

Values from the calculation:
As for the space group: P4/mmm, No. 123. The formation energy is 888 meV/atom. As for the energy above the most stable polymorph in this dataset: 0.5955 eV/atom. Its density is 6.81 g cm⁻³. Its calculated volume is 28.447 Å³/atom.

Record 13
Density functional theory data (GGA-PBEsol) for an optimized crystal structure of SiHgMo.

a b c (Å): 2.9815 2.9815 6.5330
angles (deg): 90.00 90.00 120.00
Atoms (fractional coordinates):
Hg 0.0000 0.0000 0.0014
Mo 0.3333 0.6667 0.6391
Si 0.6667 0.3333 0.3594

Values from the calculation:
As for the space group: P3m1, No. 156. As for the energy above the most stable polymorph in this dataset: 0.1245 eV/atom. Its density is 10.72 g cm⁻³. Its calculated volume is 16.765 Å³/atom. For the uncorrected formation energy, the calculation gives 34.4 kJ/mol of atoms.